No. 1
As2PIr (PBEsol, optimized geometry); formation energy from the elements = 0.433 eV per atom; SG = P4/mmm (123)
1.0
4.644 0.000 0.000
0.000 4.644 0.000
0.000 0.000 2.866
As P Ir
2 1 1
Direct
0.000 0.500 0.000
0.500 0.000 0.000
0.000 0.000 0.500
0.500 0.500 0.500

=====

No. 2
SrCdSbI2 (PBEsol, optimized geometry); SG = P4/mmm (123)
1.0
5.759 0.000 0.000
0.000 5.759 0.000
0.000 0.000 5.583
Sr Cd Sb I
1 1 1 2
Direct
0.000 0.000 0.000
0.500 0.500 0.500
0.500 0.500 0.000
0.000 0.500 0.500
0.500 0.000 0.500

=====

No. 3
V3As (PBEsol, optimized geometry); formation energy from the elements = -0.514 eV per atom; SG = Pm-3n (223)
1.0
4.675 0.000 0.000
0.000 4.675 0.000
0.000 0.000 4.675
V As
6 2
Direct
0.000 0.250 0.500
0.000 0.750 0.500
0.250 0.500 0.000
0.500 0.000 0.250
0.500 0.000 0.750
0.750 0.500 0.000
0.000 0.000 0.000
0.500 0.500 0.500

=====

No. 4
Mo2PtSe (PBEsol, optimized geometry); SG = Pmm2 (25)
1.0
2.863 0.000 0.000
0.000 3.993 0.000
0.000 0.000 5.474
Mo Pt Se
2 1 1
Direct
0.000 0.000 0.000
0.500 0.500 0.338
0.000 0.000 0.509
0.500 0.500 0.843

=====

No. 5
Cu2IrPt (PBEsol, optimized geometry); E above lowest polymorph = 0.0000 eV per atom; formation energy from the elements = -0.008 eV per atom; SG = R-3m (166)
1.0
2.670 0.000 0.000
-1.335 2.313 0.000
0.000 0.000 25.575
Cu Ir Pt
6 3 3
Direct
0.000 0.000 0.249
0.000 0.000 0.751
0.333 0.667 0.417
0.333 0.667 0.916
0.667 0.333 0.084
0.667 0.333 0.583
0.000 0.000 0.500
0.333 0.667 0.167
0.667 0.333 0.833
0.000 0.000 0.000
0.333 0.667 0.667
0.667 0.333 0.333

=====

No. 6
MnH2W (PBEsol, optimized geometry); SG = I-42d (122)
1.0
4.012 0.000 0.000
0.000 4.012 0.000
0.000 0.000 7.973
Mn H W
4 8 4
Direct
0.000 0.000 0.000
0.000 0.500 0.250
0.500 0.000 0.750
0.500 0.500 0.500
0.208 0.250 0.125
0.250 0.708 0.375
0.250 0.792 0.875
0.292 0.250 0.625
0.708 0.750 0.625
0.750 0.208 0.875
0.750 0.292 0.375
0.792 0.750 0.125
0.000 0.000 0.500
0.000 0.500 0.750
0.500 0.000 0.250
0.500 0.500 0.000

=====

No. 7
PrCrO4 (PBEsol, optimized geometry); SG = Fddd (70)
1.0
0.000 5.184 5.206
3.197 0.000 5.206
3.197 5.184 0.000
Pr Cr O
2 2 8
Direct
0.125 0.125 0.125
0.875 0.875 0.875
0.375 0.375 0.375
0.625 0.625 0.625
0.205 0.722 0.366
0.207 0.366 0.722
0.278 0.795 0.793
0.366 0.207 0.205
0.634 0.793 0.795
0.722 0.205 0.207
0.793 0.634 0.278
0.795 0.278 0.634

=====

No. 8
La2BiPbO (PBEsol, optimized geometry); SG = P4/mmm (123)
1.0
4.943 0.000 0.000
0.000 4.943 0.000
0.000 0.000 5.234
La Bi Pb O
2 1 1 1
Direct
0.000 0.500 0.000
0.500 0.000 0.000
0.000 0.000 0.500
0.500 0.500 0.500
0.500 0.500 0.000

=====

No. 9
NdIn3 (PBEsol, optimized geometry); formation energy from the elements = -0.528 eV per atom; SG = Pm-3m (221)
1.0
4.626 0.000 0.000
0.000 4.626 0.000
0.000 0.000 4.626
Nd In
1 3
Direct
0.000 0.000 0.000
0.000 0.500 0.500
0.500 0.000 0.500
0.500 0.500 0.000

=====

No. 10
CdRhPb (PBEsol, optimized geometry); formation energy from the elements = 0.009 eV per atom; SG = F-43m (216)
1.0
6.354 0.000 0.000
0.000 6.354 0.000
0.000 0.000 6.354
Cd Rh Pb
4 4 4
Direct
0.000 0.000 0.000
0.000 0.500 0.500
0.500 0.000 0.500
0.500 0.500 0.000
0.250 0.250 0.250
0.250 0.750 0.750
0.750 0.250 0.750
0.750 0.750 0.250
0.000 0.000 0.500
0.000 0.500 0.000
0.500 0.000 0.000
0.500 0.500 0.500

=====

No. 11
Zr2CdOs (PBEsol, optimized geometry); formation energy from the elements = -0.022 eV per atom; SG = F-43m (216)
1.0
6.610 0.000 0.000
0.000 6.610 0.000
0.000 0.000 6.610
Zr Cd Os
8 4 4
Direct
0.000 0.000 0.000
0.000 0.500 0.500
0.250 0.250 0.250
0.250 0.750 0.750
0.500 0.000 0.500
0.500 0.500 0.000
0.750 0.250 0.750
0.750 0.750 0.250
0.250 0.250 0.750
0.250 0.750 0.250
0.750 0.250 0.250
0.750 0.750 0.750
0.000 0.000 0.500
0.000 0.500 0.000
0.500 0.000 0.000
0.500 0.500 0.500

=====

No. 12
ScTl (PBEsol, optimized geometry); formation energy from the elements = -0.333 eV per atom; SG = Pbcm (57)
1.0
10.042 0.000 0.000
0.000 8.739 0.000
0.000 0.000 6.230
Sc Tl
12 12
Direct
0.114 0.250 0.000
0.114 0.250 0.500
0.167 0.640 0.250
0.167 0.860 0.750
0.370 0.043 0.250
0.370 0.457 0.750
0.630 0.543 0.250
0.630 0.957 0.750
0.833 0.140 0.250
0.833 0.360 0.750
0.886 0.750 0.000
0.886 0.750 0.500
0.084 0.546 0.750
0.084 0.954 0.250
0.350 0.110 0.750
0.350 0.390 0.250
0.407 0.750 0.000
0.407 0.750 0.500
0.593 0.250 0.000
0.593 0.250 0.500
0.650 0.610 0.750
0.650 0.890 0.250
0.916 0.046 0.750
0.916 0.454 0.250

=====

No. 13
ZnP2Ru (PBEsol, optimized geometry); formation energy from the elements = -0.089 eV per atom; SG = Amm2 (38)
1.0
4.223 0.000 0.000
0.000 3.309 0.000
0.000 0.000 8.153
Zn P Ru
2 4 2
Direct
0.000 0.000 0.000
0.000 0.500 0.500
0.000 0.000 0.722
0.000 0.500 0.222
0.500 0.000 0.297
0.500 0.500 0.797
0.500 0.000 0.587
0.500 0.500 0.087

=====

No. 14
CaHfMn2 (PBEsol, optimized geometry); formation energy from the elements = 0.550 eV per atom; SG = Fm-3m (225)
1.0
6.581 0.000 0.000
0.000 6.581 0.000
0.000 0.000 6.581
Ca Hf Mn
4 4 8
Direct
0.000 0.000 0.000
0.000 0.500 0.500
0.500 0.000 0.500
0.500 0.500 0.000
0.000 0.000 0.500
0.000 0.500 0.000
0.500 0.000 0.000
0.500 0.500 0.500
0.250 0.250 0.250
0.250 0.250 0.750
0.250 0.750 0.250
0.250 0.750 0.750
0.750 0.250 0.250
0.750 0.250 0.750
0.750 0.750 0.250
0.750 0.750 0.750

=====

No. 15
K2AlW (PBEsol, optimized geometry); formation energy from the elements = 0.868 eV per atom; SG = Immm (71)
1.0
2.838 0.000 0.000
0.000 4.440 0.000
0.000 0.000 20.455
K Al W
4 2 2
Direct
0.000 0.000 0.146
0.000 0.000 0.854
0.500 0.500 0.354
0.500 0.500 0.646
0.000 0.500 0.500
0.500 0.000 0.000
0.000 0.500 0.000
0.500 0.000 0.500

=====

No. 16
KCd2Au2 (PBEsol, optimized geometry); E above lowest polymorph = 0.0136 eV per atom; formation energy from the elements = -0.183 eV per atom; SG = I4/mmm (139)
1.0
4.452 0.000 0.000
0.000 4.452 0.000
0.000 0.000 12.213
K Cd Au
2 4 4
Direct
0.000 0.000 0.000
0.500 0.500 0.500
0.000 0.500 0.250
0.000 0.500 0.750
0.500 0.000 0.250
0.500 0.000 0.750
0.000 0.000 0.391
0.000 0.000 0.609
0.500 0.500 0.109
0.500 0.500 0.891

=====

No. 17
Cu3TcB (PBEsol, optimized geometry); formation energy from the elements = 2.418 eV per atom; SG = Pm-3m (221)
1.0
4.545 0.000 0.000
0.000 4.545 0.000
0.000 0.000 4.545
Cu Tc B
3 1 1
Direct
0.000 0.000 0.500
0.000 0.500 0.000
0.500 0.000 0.000
0.000 0.000 0.000
0.500 0.500 0.500

=====

No. 18
CaRhSe2 (PBEsol, optimized geometry); E above lowest polymorph = 0.0958 eV per atom; SG = Cmmm (65)
1.0
5.991 0.000 0.000
0.000 7.439 0.000
0.000 0.000 3.796
Ca Rh Se
2 2 4
Direct
0.000 0.000 0.000
0.500 0.500 0.000
0.000 0.500 0.000
0.500 0.000 0.000
0.000 0.297 0.500
0.000 0.703 0.500
0.500 0.203 0.500
0.500 0.797 0.500

=====

No. 19
KYIr2 (PBEsol, optimized geometry); formation energy from the elements = 0.503 eV per atom; SG = Fm-3m (225)
1.0
6.807 0.000 0.000
0.000 6.807 0.000
0.000 0.000 6.807
K Y Ir
4 4 8
Direct
0.000 0.000 0.000
0.000 0.500 0.500
0.500 0.000 0.500
0.500 0.500 0.000
0.000 0.000 0.500
0.000 0.500 0.000
0.500 0.000 0.000
0.500 0.500 0.500
0.250 0.250 0.250
0.250 0.250 0.750
0.250 0.750 0.250
0.250 0.750 0.750
0.750 0.250 0.250
0.750 0.250 0.750
0.750 0.750 0.250
0.750 0.750 0.750

=====

No. 20
Sc6CuTe2 (PBEsol, optimized geometry); SG = Pnma (62)
1.0
19.926 0.000 0.000
0.000 3.757 0.000
0.000 0.000 10.603
Sc Cu Te
24 4 8
Direct
0.005 0.250 0.112
0.025 0.750 0.380
0.109 0.250 0.810
0.138 0.750 0.060
0.157 0.250 0.532
0.232 0.750 0.739
0.268 0.250 0.239
0.343 0.750 0.032
0.362 0.250 0.560
0.391 0.750 0.310
0.475 0.250 0.880
0.495 0.750 0.612
0.505 0.250 0.388
0.525 0.750 0.120
0.609 0.250 0.690
0.638 0.750 0.440
0.657 0.250 0.968
0.732 0.750 0.761
0.768 0.250 0.261
0.843 0.750 0.468
0.862 0.250 0.940
0.891 0.750 0.190
0.975 0.250 0.620
0.995 0.750 0.888
0.077 0.750 0.638
0.423 0.250 0.138
0.577 0.750 0.862
0.923 0.250 0.362
0.125 0.250 0.269
0.236 0.250 0.956
0.264 0.750 0.456
0.375 0.750 0.769
0.625 0.250 0.231
0.736 0.250 0.544
0.764 0.750 0.044
0.875 0.750 0.731

=====

| no. | N(E_F) (states/eV per cell) | uncorrected energy (eV per atom) |
| --- | --- | --- |
| 1 | 2.67 | -6.024 |
| 2 | 5.77 | -2.583 |
| 3 | 5.85 | -9.016 |
| 4 | 2.88 | -8.472 |
| 5 | 14.38 | -6.372 |
| 6 | 10.31 | -7.362 |
| 7 | 8.66 | -8.646 |
| 8 | 2.63 | -6.118 |
| 9 | 1.74 | -4.057 |
| 10 | 6.72 | -4.436 |
| 11 | 3.12 | -7.920 |
| 12 | 20.00 | -4.951 |
| 13 | 3.38 | -5.924 |
| 14 | 23.85 | -7.490 |
| 15 | 8.02 | -4.173 |
| 16 | 4.10 | -2.458 |
| 17 | 5.57 | -3.839 |
| 18 | 1.99 | -5.333 |
| 19 | 8.26 | -6.397 |
| 20 | 38.05 | -6.297 |